No. 1
{"formula": "CrSbMo2", "functional": "GGA-PBE", "state": "relaxed", "raw_formation_energy_ev_per_fu": 1.10, "mass_density_kg_m3": 9413, "magnetic_moment_mub_per_cell": 0.925, "dos_at_fermi_per_ev_cell": 3.78, "lattice_angstrom": [[3.249, 0.000, 0.000], [0.000, 3.249, 0.000], [0.000, 0.000, 6.110]], "species": ["Cr", "Sb", "Mo", "Mo"], "frac_coords": [[0.000, 0.000, 0.000], [0.500, 0.500, 0.735], [0.000, 0.000, 0.479], [0.500, 0.500, 0.207]]}


No. 2
{"formula": "CaMnIr2", "functional": "GGA-PBE", "state": "relaxed", "mass_density_kg_m3": 12091, "formation_enthalpy_0k_ev_per_atom": 0.17, "magnetic_moment_mub_per_cell": 4.129, "dos_at_fermi_per_ev_cell": 3.01, "lattice_angstrom": [[3.007, 0.000, 0.000], [0.000, 4.538, 0.000], [0.000, 0.000, 4.825]], "species": ["Ca", "Mn", "Ir", "Ir"], "frac_coords": [[0.000, 0.000, 0.000], [0.500, 0.000, 0.500], [0.000, 0.500, 0.500], [0.500, 0.500, 0.000]]}


No. 3
{"formula": "Si3C", "functional": "GGA-PBE", "state": "relaxed", "raw_formation_energy_ev_per_fu": 5.84, "mass_density_kg_m3": 2474, "magnetic_moment_mub_per_cell": 0.000, "dos_at_fermi_per_ev_cell": 3.10, "lattice_angstrom": [[4.013, 0.000, 0.000], [0.000, 4.013, 0.000], [0.000, 0.000, 4.013]], "species": ["Si", "Si", "Si", "C"], "frac_coords": [[0.000, 0.000, 0.500], [0.000, 0.500, 0.000], [0.500, 0.000, 0.000], [0.000, 0.000, 0.000]]}